The following is a DFT calculation (PBE) of a geometry-optimized Pu3Tl4AuS8 structure.

Unit cell a=14.1123 b=7.8869 c=8.7909 alpha=90.00 beta=121.74 gamma=90.00
With the nearest neighbours (Å) after each atom.
Space group C2/m (No. 12)
Symmetry-distinct sites (fractional):
Pu  0.0000  0.0000  0.0000  6 S 2.73-2.76
Pu  0.2500  0.2500  0.0000  6 S 2.69-2.75
Tl  0.0000  0.0000  0.5000  6 S 3.07-3.26
Tl  0.0000  0.5000  0.5000  6 S 3.22-3.31
Tl  0.2500  0.2500  0.5000  6 S 3.21-3.33
Au  0.0000  0.5000  0.0000  4 S 2.68
S  0.0211  0.2541  0.8091  1 Au 2.68, 2 Pu 2.73-2.75
S  0.2298  0.0000  0.1961  3 Pu 2.73-2.76
S  0.2484  0.0000  0.7911  2 Pu 2.69

Values from the calculation:
Formation energy without anion corrections: -912.6 meV per atom